The following is a DFT calculation (PBE) of a geometry-optimized ErTm2CuSn3Ir2 structure.

Values from the calculation:
Total DFT energy (no corrections)   -5.9470 eV per atom
Space group   Amm2 (38)

Geometry as POSCAR:
```
ErTm2CuSn3Ir2
1.0
3.7959 0.0000 0.0000
0.0000 6.5255 3.7621
0.0000 -6.5255 3.7621
Sn Tm Er Ir Cu
3 2 1 2 1
Direct
0.5000 0.9999 0.2630
0.5000 0.7370 0.7370
0.5000 0.2630 0.9999
0.0000 0.5965 0.0000
0.0000 0.0000 0.5965
0.0000 0.4033 0.4033
0.5000 0.6674 0.3331
0.5000 0.3331 0.6674
0.0000 0.9997 0.9997
```

The following is a DFT calculation (PBE) of a geometry-optimized Er3Zn3Cu2Ir structure.

Values from the calculation:
Total DFT energy (no corrections)   -4.1801 eV per atom
Space group   P-62m (189)

Geometry as POSCAR:
```
Er3Zn3Cu2Ir
1.0
7.0424 0.0000 0.0000
-3.5212 6.0989 0.0000
0.0000 0.0000 3.8886
Er Ir Zn Cu
3 1 3 2
Direct
0.4039 0.0000 0.0000
0.0000 0.4039 0.0000
0.5961 0.5961 0.0000
0.0000 0.0000 0.0000
0.2512 0.2512 0.5000
0.7488 0.0000 0.5000
0.0000 0.7488 0.5000
0.3333 0.6667 0.5000
0.6667 0.3333 0.5000
```

The following is a DFT calculation (PBE) of a geometry-optimized KErCu structure.

Values from the calculation:
Total DFT energy (no corrections)   -2.5228 eV per atom
Space group   F-43m (216)

Geometry as POSCAR:
```
KErCu
1.0
4.7903 -1.3555 0.7231
1.9408 -0.0004 4.6412
1.0647 -4.3557 2.2808
K Cu Er
1 1 1
Direct
0.7500 0.7500 0.7500
0.0000 0.0000 0.0000
0.2500 0.2500 0.2500
```

The following is a DFT calculation (PBE) of a geometry-optimized K2Er4Cu4S9 structure.

Values from the calculation:
Total DFT energy (no corrections)   -5.2435 eV per atom
Space group   C2/m (12)

Geometry as POSCAR:
```
K2Er4Cu4S9
1.0
6.8423 -1.9601 0.0000
6.8423 1.9601 0.0000
-5.3378 0.0000 14.8609
Er K S Cu
4 2 9 4
Direct
0.7669 0.7669 0.8954
0.2331 0.2331 0.1046
0.6547 0.6547 0.5546
0.3453 0.3453 0.4454
0.0285 0.0285 0.2696
0.9715 0.9715 0.7304
0.6501 0.6501 0.7214
0.6097 0.6097 0.1266
0.3499 0.3499 0.2786
0.8617 0.8617 0.0757
0.0000 0.0000 0.5000
0.2994 0.2994 0.6025
0.7006 0.7006 0.3975
0.1383 0.1383 0.9243
0.3903 0.3903 0.8734
0.7542 0.7542 0.2715
0.5694 0.5694 0.9603
0.4306 0.4306 0.0397
0.2458 0.2458 0.7285
```